VASP calculation (GGA+U) on a geometry-optimized Ba2CoI2O2 structure.

Summary:
Space group: I4/mmm
Final energy, eV per formula unit: -34.26

Lattice parameters (Å, degrees): 4.296 4.296 11.148 101.11 101.11 90.00
Site moments in Bohr magnetons follow the coordinates.
Fractional positions:
Ba  0.417  0.417  0.834  0.00
Ba  0.583  0.583  0.166  0.00
Co  0.000  0.000  0.000  2.69
I  0.164  0.164  0.328  0.02
I  0.836  0.836  0.672  0.02
O  0.000  0.500  0.000  0.09
O  0.500  0.000  0.000  0.09